The following is a GGA-PBE calculation of an optimized crystal structure of PmAlRh2, from the Alexandria database.

Output
Total magnetization in μB/f.u.: 0.000
ΔH_f (0 K) in eV/atom: -0.74

```
data_PmAlRh2
_space_group_name_H-M_alt 'F m -3 m'
_space_group_IT_number 225
_space_group_name_Hall '-F 4 2 3'
_cell_length_a 6.569
_cell_length_b 6.569
_cell_length_c 6.569
_cell_angle_alpha 90.00
_cell_angle_beta 90.00
_cell_angle_gamma 90.00
loop_
_atom_site_label
_atom_site_type_symbol
_atom_site_fract_x
_atom_site_fract_y
_atom_site_fract_z
Pm1 Pm 0.000 0.000 0.000
Al1 Al 0.000 0.000 0.500
Rh1 Rh 0.250 0.250 0.250
```